(one)
AgP: relaxed, PBE-GGA.

The structure in CIF format:
```
data_AgP
_space_group_name_H-M_alt 'P 1'
_space_group_IT_number 1
_cell_length_a 3.034
_cell_length_b 3.034
_cell_length_c 7.973
_cell_angle_alpha 90.00
_cell_angle_beta 90.00
_cell_angle_gamma 90.00
loop_
_space_group_symop_operation_xyz
'x,y,z'
loop_
_atom_site_label
_atom_site_fract_x
_atom_site_fract_y
_atom_site_fract_z
Ag1 0.000 0.000 0.001
Ag2 0.500 0.500 0.249
P1 0.000 0.000 0.684
P2 0.500 0.500 0.566
```

* space-group type: P4/nmm
* magnetization: 0.00 μB per formula unit

(two)
AgP: relaxed, PBE-GGA.

The structure in CIF format:
```
data_AgP
_space_group_name_H-M_alt 'P 1'
_space_group_IT_number 1
_cell_length_a 3.985
_cell_length_b 3.985
_cell_length_c 3.985
_cell_angle_alpha 60.00
_cell_angle_beta 60.00
_cell_angle_gamma 60.00
loop_
_space_group_symop_operation_xyz
'x,y,z'
loop_
_atom_site_label
_atom_site_fract_x
_atom_site_fract_y
_atom_site_fract_z
Ag1 0.000 0.000 0.000
P1 0.250 0.250 0.250
```

* space-group type: F-43m
* magnetization: 0.00 μB per formula unit

(three)
AgP: relaxed, PBE-GGA.

The structure in CIF format:
```
data_AgP
_space_group_name_H-M_alt 'P 1'
_space_group_IT_number 1
_cell_length_a 6.168
_cell_length_b 6.168
_cell_length_c 6.168
_cell_angle_alpha 150.38
_cell_angle_beta 141.09
_cell_angle_gamma 49.65
loop_
_space_group_symop_operation_xyz
'x,y,z'
loop_
_atom_site_label
_atom_site_fract_x
_atom_site_fract_y
_atom_site_fract_z
Ag1 0.657 0.907 0.250
Ag2 0.343 0.093 0.750
P1 0.072 0.322 0.250
P2 0.928 0.678 0.750
```

* space-group type: Imma
* magnetization: 0.00 μB per formula unit

(one) has the most favorable energy; the next structure is 0.130 eV/atom above.

(one)
AgP: relaxed, PBE-GGA.

The structure in CIF format:
```
data_AgP
_space_group_name_H-M_alt 'P 1'
_space_group_IT_number 1
_cell_length_a 7.956
_cell_length_b 7.956
_cell_length_c 7.956
_cell_angle_alpha 23.31
_cell_angle_beta 23.31
_cell_angle_gamma 23.31
loop_
_space_group_symop_operation_xyz
'x,y,z'
loop_
_atom_site_label
_atom_site_fract_x
_atom_site_fract_y
_atom_site_fract_z
Ag1 0.006 0.006 0.006
Ag2 0.244 0.244 0.244
P1 0.487 0.487 0.487
P2 0.763 0.763 0.763
```

* space-group type: R-3m
* magnetization: 0.00 μB per formula unit

(two)
AgP: relaxed, PBE-GGA.

The structure in CIF format:
```
data_AgP
_space_group_name_H-M_alt 'P 1'
_space_group_IT_number 1
_cell_length_a 10.646
_cell_length_b 10.646
_cell_length_c 3.234
_cell_angle_alpha 90.00
_cell_angle_beta 90.00
_cell_angle_gamma 120.00
loop_
_space_group_symop_operation_xyz
'x,y,z'
loop_
_atom_site_label
_atom_site_fract_x
_atom_site_fract_y
_atom_site_fract_z
Ag1 0.778 0.262 0.250
Ag2 0.516 0.778 0.750
Ag3 0.738 0.516 0.250
Ag4 0.222 0.738 0.750
Ag5 0.484 0.222 0.250
Ag6 0.262 0.484 0.750
P1 0.577 0.011 0.250
P2 0.566 0.577 0.750
P3 0.989 0.566 0.250
P4 0.423 0.989 0.750
P5 0.434 0.423 0.250
P6 0.011 0.434 0.750
```

* space-group type: P6_3/m
* magnetization: 0.00 μB per formula unit

(one) has the most favorable energy; the next structure is 0.069 eV/atom above.

(one)
AgP: relaxed, PBE-GGA.

The structure in CIF format:
```
data_AgP
_space_group_name_H-M_alt 'P 1'
_space_group_IT_number 1
_cell_length_a 5.114
_cell_length_b 5.114
_cell_length_c 5.114
_cell_angle_alpha 133.98
_cell_angle_beta 133.98
_cell_angle_gamma 67.12
loop_
_space_group_symop_operation_xyz
'x,y,z'
loop_
_atom_site_label
_atom_site_fract_x
_atom_site_fract_y
_atom_site_fract_z
Ag1 0.000 0.000 0.000
Ag2 0.750 0.250 0.500
P1 0.500 0.500 0.000
P2 0.250 0.750 0.500
```

* space-group type: I4_1/amd
* magnetization: 0.00 μB per formula unit

(two)
AgP: relaxed, PBE-GGA.

The structure in CIF format:
```
data_AgP
_space_group_name_H-M_alt 'P 1'
_space_group_IT_number 1
_cell_length_a 2.726
_cell_length_b 2.726
_cell_length_c 9.238
_cell_angle_alpha 90.00
_cell_angle_beta 90.00
_cell_angle_gamma 90.00
loop_
_space_group_symop_operation_xyz
'x,y,z'
loop_
_atom_site_label
_atom_site_fract_x
_atom_site_fract_y
_atom_site_fract_z
Ag1 0.250 0.250 0.625
Ag2 0.750 0.750 0.375
P1 0.250 0.250 0.146
P2 0.750 0.750 0.854
```

* space-group type: P4/nmm
* magnetization: 0.00 μB per formula unit

(two) has the most favorable energy; the next structure is 0.034 eV/atom above.